## Na2Sb5Pd3 (GGA-PBE)

Data for Na2Sb5Pd3 after structural relaxation.

Cell: 4.473 7.549 13.789 Å, 90.00 99.33 90.00°
Element x y z (fractional)
Sb: 0.291 0.507 0.582
Sb: 0.403 0.373 0.807
Sb: 0.884 0.771 0.768
Sb: 0.709 0.007 0.418
Sb: 0.597 0.873 0.193
Sb: 0.295 0.933 0.591
Sb: 0.116 0.271 0.232
Sb: 0.705 0.433 0.409
Sb: 0.045 0.594 0.090
Sb: 0.955 0.094 0.910
Na: 0.477 0.759 0.953
Na: 0.828 0.219 0.656
Na: 0.523 0.259 0.047
Na: 0.172 0.719 0.344
Pd: 0.052 0.980 0.104
Pd: 0.774 0.718 0.548
Pd: 0.226 0.218 0.452
Pd: 0.948 0.480 0.896
Pd: 0.604 0.510 0.209
Pd: 0.396 0.010 0.791

Output
As for the density: 7.041 g cm⁻³. The value obtained for the total DFT energy (no corrections) is -42.61 eV/f.u. The volume comes out at 23.0 Å³ per atom. The density of states at the Fermi level comes out at 0.28 states/eV/atom.